--- i ---
VASP calculation (PBE) on a geometry-optimized TeOsI2O structure.

Geometry as extended XYZ:
```
5
Lattice="4.986 0.000 0.000 0.000 4.986 0.000 0.000 0.000 4.476" Properties=species:S:1:pos:R:3 pbc="T T T"
Te 0.000 0.000 0.000
Os 2.493 2.493 0.000
I 0.000 2.493 2.238
I 2.493 0.000 2.238
O 0.000 0.000 2.238
```

Summary:
**Total magnetization**: 0.46 μB per cell
**Space-group type**: No. 123
**Fermi-level density of states**: 5.4 states/eV per cell



--- ii ---
VASP calculation (PBE) on a geometry-optimized TeOsI2O structure.

Geometry as extended XYZ:
```
5
Lattice="5.598 0.000 0.000 0.000 5.598 0.000 0.000 0.000 4.984" Properties=species:S:1:pos:R:3 pbc="T T T"
Te 0.000 0.000 0.000
Os 0.000 0.000 2.492
I 0.000 2.799 2.492
I 2.799 0.000 2.492
O 2.799 2.799 0.000
```

Summary:
**Total magnetization**: 1.31 μB per cell
**Space-group type**: No. 123
**Fermi-level density of states**: 7.8 states/eV per cell



Most stable pick: ii. Distance to second place: 0.371 eV/atom.



--- i ---
VASP calculation (PBE) on a geometry-optimized TeOsI2O structure.

Geometry as extended XYZ:
```
5
Lattice="5.680 0.000 0.000 0.000 5.680 0.000 0.000 0.000 3.765" Properties=species:S:1:pos:R:3 pbc="T T T"
Te 0.000 0.000 0.000
Os 2.840 2.840 1.882
I 0.000 2.840 1.882
I 2.840 0.000 1.882
O 2.840 2.840 0.000
```

Summary:
**Total magnetization**: 0.00 μB per cell
**Space-group type**: No. 123
**Fermi-level density of states**: 5.7 states/eV per cell



--- ii ---
VASP calculation (PBE) on a geometry-optimized TeOsI2O structure.

Geometry as extended XYZ:
```
5
Lattice="6.099 0.000 0.000 0.000 6.099 0.000 0.000 0.000 4.013" Properties=species:S:1:pos:R:3 pbc="T T T"
Te 0.000 0.000 0.000
Os 3.049 3.049 2.007
I 0.000 3.049 0.000
I 3.049 0.000 0.000
O 0.000 0.000 2.007
```

Summary:
**Total magnetization**: 4.17 μB per cell
**Space-group type**: No. 123
**Fermi-level density of states**: 6.5 states/eV per cell



Most stable pick: i. Distance to second place: 0.954 eV/atom.



--- i ---
VASP calculation (PBE) on a geometry-optimized TiOsIO2 structure.

Geometry as extended XYZ:
```
5
Lattice="3.794 0.000 0.000 0.000 3.794 0.000 0.000 0.000 6.296" Properties=species:S:1:pos:R:3 pbc="T T T"
Ti 0.000 0.000 0.000
Os 1.897 1.897 3.148
I 0.000 0.000 3.148
O 0.000 1.897 0.000
O 1.897 0.000 0.000
```

Summary:
**Total magnetization**: 1.64 μB per cell
**Space-group type**: No. 123
**Fermi-level density of states**: 2.7 states/eV per cell



--- ii ---
VASP calculation (PBE) on a geometry-optimized TiOsIO2 structure.

Geometry as extended XYZ:
```
5
Lattice="3.789 0.000 0.000 0.000 3.789 0.000 0.000 0.000 8.100" Properties=species:S:1:pos:R:3 pbc="T T T"
Ti 0.000 0.000 0.000
Os 1.894 1.894 4.050
I 1.894 1.894 0.000
O 0.000 1.894 4.050
O 1.894 0.000 4.050
```

Summary:
**Total magnetization**: 2.41 μB per cell
**Space-group type**: No. 123
**Fermi-level density of states**: 6.7 states/eV per cell



Most stable pick: i. Distance to second place: 0.269 eV/atom.